No. 1
# Pu2Ga3Ni4Pd (PBE-GGA, relaxed)
# - Energy of formation: -0.37 eV per atom
data_Pu2Ga3Ni4Pd
_space_group_name_H-M_alt 'P -4 m 2'
_space_group_IT_number 115
_cell_length_a 3.799
_cell_length_b 3.799
_cell_length_c 11.369
_cell_angle_alpha 90.00
_cell_angle_beta 90.00
_cell_angle_gamma 90.00
loop_
_space_group_symop_operation_xyz
'x,y,z'
'y,-x,-z'
'-x,-y,z'
'-y,x,-z'
'-x,y,z'
'-y,-x,-z'
'x,-y,z'
'y,x,-z'
loop_
_atom_site_label
_atom_site_type_symbol
_atom_site_fract_x
_atom_site_fract_y
_atom_site_fract_z
Pu1 Pu 0.000 0.500 0.238
Ga1 Ga 0.000 0.000 0.000
Ga2 Ga 0.000 0.500 0.628
Ni1 Ni 0.000 0.000 0.500
Ni2 Ni 0.000 0.500 0.840
Ni3 Ni 0.500 0.500 0.500
Pd1 Pd 0.500 0.500 0.000

No. 2
# LiLaBe (PBE-GGA, relaxed)
# - Energy of formation: 0.24 eV per atom
# - Relative energy among the computed polymorphs: 0.00 kJ/mol of atoms
data_LiLaBe
_space_group_name_H-M_alt 'P -6 m 2'
_space_group_IT_number 187
_space_group_name_Hall 'P -6 2'
_cell_length_a 4.7282
_cell_length_b 4.7282
_cell_length_c 3.2740
_cell_angle_alpha 90.00
_cell_angle_beta 90.00
_cell_angle_gamma 120.00
loop_
_atom_site_label
_atom_site_type_symbol
_atom_site_fract_x
_atom_site_fract_y
_atom_site_fract_z
Li1 Li 0.0000 0.0000 0.0000
La1 La 0.3333 0.6667 0.5000
Be1 Be 0.6667 0.3333 0.0000

No. 3
# Ag2TePb (PBE-GGA, relaxed)
# - Relative energy among the computed polymorphs: 0.91 kJ/mol of atoms
# - Formation energy from raw total energies: 1.200 kcal/mol of atoms
data_Ag2TePb
_space_group_name_H-M_alt 'P 1 2/m 1'
_space_group_IT_number 10
_cell_length_a 4.043
_cell_length_b 4.722
_cell_length_c 5.718
_cell_angle_alpha 90.00
_cell_angle_beta 92.14
_cell_angle_gamma 90.00
loop_
_space_group_symop_operation_xyz
'x,y,z'
'-x,-y,-z'
'-x,y,-z'
'x,-y,z'
loop_
_atom_site_label
_atom_site_type_symbol
_atom_site_fract_x
_atom_site_fract_y
_atom_site_fract_z
Ag1 Ag 0.062 0.000 0.236
Te1 Te 0.000 0.500 0.500
Pb1 Pb 0.500 0.500 0.000

No. 4
# Sm2PaPb (PBE-GGA, relaxed)
# - Energy of formation: -0.06 eV per atom
# - Relative energy among the computed polymorphs: 0.00 kJ/mol of atoms
data_Sm2PaPb
_space_group_name_H-M_alt 'P 4/m m m'
_space_group_IT_number 123
_space_group_name_Hall '-P 4 2'
_cell_length_a 4.968
_cell_length_b 4.968
_cell_length_c 4.595
_cell_angle_alpha 90.00
_cell_angle_beta 90.00
_cell_angle_gamma 90.00
loop_
_atom_site_label
_atom_site_type_symbol
_atom_site_fract_x
_atom_site_fract_y
_atom_site_fract_z
Sm1 Sm 0.000 0.500 0.000
Pa1 Pa 0.000 0.000 0.500
Pb1 Pb 0.500 0.500 0.500

No. 5
# Nd3Ga4Cu4 (PBE-GGA, relaxed)
# - Energy of formation: -0.43 eV per atom
data_Nd3Ga4Cu4
_space_group_name_H-M_alt 'P -1'
_space_group_IT_number 2
_cell_length_a 4.108
_cell_length_b 4.211
_cell_length_c 13.077
_cell_angle_alpha 80.81
_cell_angle_beta 80.96
_cell_angle_gamma 89.99
loop_
_space_group_symop_operation_xyz
'x,y,z'
'-x,-y,-z'
loop_
_atom_site_label
_atom_site_type_symbol
_atom_site_fract_x
_atom_site_fract_y
_atom_site_fract_z
Nd1 Nd 0.000 0.000 0.000
Nd2 Nd 0.150 0.650 0.700
Ga1 Ga 0.251 0.251 0.499
Ga2 Ga 0.399 0.902 0.197
Cu1 Cu 0.304 0.806 0.390
Cu2 Cu 0.451 0.451 0.097

No. 6
# Ac2MgAl3Cd4 (PBE-GGA, relaxed)
# - Energy of formation: -0.29 eV per atom
data_Ac2MgAl3Cd4
_space_group_name_H-M_alt 'P -4 m 2'
_space_group_IT_number 115
_cell_length_a 4.638
_cell_length_b 4.638
_cell_length_c 11.701
_cell_angle_alpha 90.00
_cell_angle_beta 90.00
_cell_angle_gamma 90.00
loop_
_space_group_symop_operation_xyz
'x,y,z'
'y,-x,-z'
'-x,-y,z'
'-y,x,-z'
'-x,y,z'
'-y,-x,-z'
'x,-y,z'
'y,x,-z'
loop_
_atom_site_label
_atom_site_type_symbol
_atom_site_fract_x
_atom_site_fract_y
_atom_site_fract_z
Ac1 Ac 0.000 0.500 0.243
Mg1 Mg 0.000 0.000 0.500
Al1 Al 0.000 0.500 0.865
Al2 Al 0.500 0.500 0.500
Cd1 Cd 0.000 0.000 0.000
Cd2 Cd 0.000 0.500 0.637
Cd3 Cd 0.500 0.500 0.000

No. 7
# Pm4TeAsPb2 (PBE-GGA, relaxed)
# - Formation energy from raw total energies: -22.771 kcal/mol of atoms
data_Pm4TeAsPb2
_space_group_name_H-M_alt 'P 1 2/m 1'
_space_group_IT_number 10
_cell_length_a 7.535
_cell_length_b 4.336
_cell_length_c 8.024
_cell_angle_alpha 90.00
_cell_angle_beta 108.11
_cell_angle_gamma 90.00
loop_
_space_group_symop_operation_xyz
'x,y,z'
'-x,-y,-z'
'-x,y,-z'
'x,-y,z'
loop_
_atom_site_label
_atom_site_type_symbol
_atom_site_fract_x
_atom_site_fract_y
_atom_site_fract_z
Pm1 Pm 0.231 0.000 0.228
Pm2 Pm 0.241 0.500 0.760
Te1 Te 0.500 0.000 0.000
As1 As 0.000 0.500 0.000
Pb1 Pb 0.000 0.000 0.500
Pb2 Pb 0.500 0.500 0.500

No. 8
# La2AsPd2 (PBE-GGA, relaxed)
# - Energy of formation: -0.82 eV per atom
# - Relative energy among the computed polymorphs: 11.15 kJ/mol of atoms
data_La2AsPd2
_space_group_name_H-M_alt 'I 4/m m m'
_space_group_IT_number 139
_space_group_name_Hall '-I 4 2'
_cell_length_a 5.650
_cell_length_b 5.650
_cell_length_c 7.869
_cell_angle_alpha 90.00
_cell_angle_beta 90.00
_cell_angle_gamma 90.00
loop_
_atom_site_label
_atom_site_type_symbol
_atom_site_fract_x
_atom_site_fract_y
_atom_site_fract_z
La1 La 0.000 0.500 0.250
As1 As 0.000 0.000 0.000
Pd1 Pd 0.000 0.000 0.338

No. 9
# MnBe2Hg (PBE-GGA, relaxed)
# - Energy of formation: 0.76 eV per atom
data_MnBe2Hg
_space_group_name_H-M_alt 'I -4 2 d'
_space_group_IT_number 122
_space_group_name_Hall 'I -4 2bw'
_cell_length_a 6.269
_cell_length_b 6.269
_cell_length_c 5.283
_cell_angle_alpha 90.00
_cell_angle_beta 90.00
_cell_angle_gamma 90.00
loop_
_atom_site_label
_atom_site_type_symbol
_atom_site_fract_x
_atom_site_fract_y
_atom_site_fract_z
Mn1 Mn 0.000 0.000 0.000
Be1 Be 0.229 0.250 0.125
Hg1 Hg 0.000 0.000 0.500

| no. | density of states at the Fermi level (states/eV/atom) | spin magnetization (μB/f.u.) |
| --- | --- | --- |
| 1 | 2.382 | 10.3 |
| 2 | 0.384 | 0.0 |
| 3 | 0.187 | 0.0 |
| 4 | 1.438 | 0.0 |
| 5 | 0.640 | 0.0 |
| 6 | 0.456 | 0.0 |
| 7 | 0.402 | 0.0 |
| 8 | 0.895 | 0.0 |
| 9 | 1.756 | 0.0 |